# 1
DFT (PBE-GGA) results for a relaxed BaSrP2 crystal.

Computed properties:
Calculated volume: 109.1 Å³ per cell
Energy relative to the elements: -0.79 eV/atom
DFT total energy: -4.40 eV per atom

Cell: 4.0761 4.0761 6.5692 Å, 90.00 90.00 90.00°
Last column: nearest neighbours and their distance in Å.
Space group P4/mmm (No. 123)
Inequivalent atoms, fractional coordinates:
Ba 0.0000 0.0000 0.0000  2 Sr 3.28, 8 P 3.56
Sr 0.0000 0.0000 0.5000  8 P 3.12, 2 Ba 3.28
P 0.5000 0.5000 0.3182  1 P 2.39

---

# 2
DFT (PBE-GGA) results for a relaxed Ba2SrP crystal.

Computed properties:
Calculated volume: 423.5 Å³ per cell
Energy relative to the elements: -0.58 eV/atom
DFT total energy: -3.31 eV per atom

Cell: 7.9242 4.5736 11.9757 Å, 90.00 102.66 90.00°
Last column: nearest neighbours and their distance in Å.
Space group C2/m (No. 12)
Inequivalent atoms, fractional coordinates:
Ba 0.2162 0.0000 0.1493  3 P 3.17
Sr 0.0000 0.0000 0.5000  6 Sr 4.57, 6 Ba 4.87-4.88
P 0.0000 0.5000 0.0000  6 Ba 3.17

---

# 3
DFT (PBE-GGA) results for a relaxed Ba2SrP crystal.

Computed properties:
Calculated volume: 617.2 Å³ per cell
Energy relative to the elements: -0.59 eV/atom
DFT total energy: -3.33 eV per atom

Cell: 4.5540 4.5540 34.3625 Å, 90.00 90.00 120.00°
Last column: nearest neighbours and their distance in Å.
Space group R3m (No. 160, hexagonal axes)
Inequivalent atoms, fractional coordinates:
Ba 0.0000 0.0000 0.0000  3 P 3.16
Ba 0.0000 0.0000 0.2116  9 Ba 4.55-4.94, 3 Sr 4.77
Sr 0.0000 0.0000 0.4290  3 P 3.05
P 0.0000 0.0000 0.7176  3 Sr 3.05, 3 Ba 3.16

---

# 4
DFT (PBE-GGA) results for a relaxed BaSrP2 crystal.

Computed properties:
Calculated volume: 422.7 Å³ per cell
Energy relative to the elements: -0.08 eV/atom
DFT total energy: -3.68 eV per atom

Cell: 7.5048 7.5048 7.5048 Å, 90.00 90.00 90.00°
Last column: nearest neighbours and their distance in Å.
Space group F-43m (No. 216)
Inequivalent atoms, fractional coordinates:
Ba 0.0000 0.0000 0.0000  4 P 3.25, 4 Sr 3.25
Sr 0.2500 0.2500 0.2500  4 Ba 3.25, 4 P 3.25
P 0.0000 0.0000 0.5000  4 Sr 3.25, 4 P 3.25
P 0.2500 0.2500 0.7500  4 Ba 3.25, 4 P 3.25

---

# 5
DFT (PBE-GGA) results for a relaxed BaSrP2 crystal.

Computed properties:
Calculated volume: 229.6 Å³ per cell
Energy relative to the elements: -0.51 eV/atom
DFT total energy: -4.12 eV per atom

Cell: 4.4734 4.4734 11.4740 Å, 90.00 90.00 90.00°
Last column: nearest neighbours and their distance in Å.
Space group I-4m2 (No. 119)
Inequivalent atoms, fractional coordinates:
Ba 0.0000 0.0000 0.0000  4 P 3.16
Sr 0.0000 0.5000 0.2500  4 P 3.16
P 0.0000 0.0000 0.5000  4 Ba 3.16
P 0.0000 0.5000 0.7500  4 Sr 3.16

---

# 6
DFT (PBE-GGA) results for a relaxed BaSrP3 crystal.

Computed properties:
Calculated volume: 163.1 Å³ per cell
Energy relative to the elements: 0.21 eV/atom
DFT total energy: -3.76 eV per atom

Cell: 5.4635 5.4635 5.4635 Å, 90.00 90.00 90.00°
Last column: nearest neighbours and their distance in Å.
Space group Pm-3m (No. 221)
Inequivalent atoms, fractional coordinates:
Ba 0.0000 0.0000 0.0000  12 P 3.86
Sr 0.5000 0.5000 0.5000  6 P 2.73
P 0.0000 0.5000 0.5000  2 Sr 2.73

---

# 7
DFT (PBE-GGA) results for a relaxed Ba8SrP6 crystal.

Computed properties:
Calculated volume: 1618.9 Å³ per cell
Energy relative to the elements: -0.95 eV/atom
DFT total energy: -4.25 eV per atom

Cell: 9.4177 9.4177 21.0773 Å, 90.00 90.00 120.00°
Last column: nearest neighbours and their distance in Å.
Space group R-3 (No. 148, hexagonal axes)
Inequivalent atoms, fractional coordinates:
Ba 0.0000 0.0000 0.1660  6 P 3.49-3.51, 6 Ba 3.80
Ba 0.0002 0.3321 0.7311  4 P 3.19-3.37
Sr 0.0000 0.0000 0.5000  6 P 3.44, 6 Ba 3.81
P 0.0012 0.3288 0.5711  6 Ba 3.19-3.51, 1 Sr 3.44

---

# 8
DFT (PBE-GGA) results for a relaxed Ba3SrP crystal.

Computed properties:
Calculated volume: 267.8 Å³ per cell
Energy relative to the elements: -0.43 eV/atom
DFT total energy: -3.00 eV per atom

Cell: 6.4459 6.4459 6.4459 Å, 90.00 90.00 90.00°
Last column: nearest neighbours and their distance in Å.
Space group Pm-3m (No. 221)
Inequivalent atoms, fractional coordinates:
Ba 0.0000 0.0000 0.5000  2 P 3.22
Sr 0.5000 0.5000 0.5000  12 Ba 4.56
P 0.0000 0.0000 0.0000  6 Ba 3.22

---

# 9
DFT (PBE-GGA) results for a relaxed Ba3Sr2UP6 crystal.

Computed properties:
Calculated volume: 735.5 Å³ per cell
Energy relative to the elements: -0.89 eV/atom
DFT total energy: -5.30 eV per atom

Cell: 7.6379 13.2521 7.7060 Å, 90.00 109.45 90.00°
Last column: nearest neighbours and their distance in Å.
Space group C2/m (No. 12)
Inequivalent atoms, fractional coordinates:
Ba 0.0000 0.0000 0.0000  6 P 3.19-3.57
Ba 0.0000 0.3273 0.0000  6 P 3.20-3.50
Sr 0.0000 0.1659 0.5000  6 P 3.13
U 0.0000 0.5000 0.5000  6 P 2.69-2.71
P 0.2160 0.3540 0.7111  1 U 2.71
P 0.2180 0.5000 0.2882  1 U 2.69

---

# 10
DFT (PBE-GGA) results for a relaxed Ba2SrZnP crystal.

Computed properties:
Calculated volume: 202.4 Å³ per cell
Energy relative to the elements: -0.18 eV/atom
DFT total energy: -2.63 eV per atom

Cell: 6.4162 6.4162 4.9173 Å, 90.00 90.00 90.00°
Last column: nearest neighbours and their distance in Å.
Space group P4/mmm (No. 123)
Inequivalent atoms, fractional coordinates:
Ba 0.0000 0.5000 0.0000  2 P 3.21
Sr 0.0000 0.0000 0.5000  8 Ba 4.04
Zn 0.5000 0.5000 0.5000  2 P 2.46
P 0.5000 0.5000 0.0000  2 Zn 2.46

---

# 11
DFT (PBE-GGA) results for a relaxed BaTaP2 crystal.

Computed properties:
Calculated volume: 182.9 Å³ per cell
Energy relative to the elements: 0.54 eV/atom
DFT total energy: -5.61 eV per atom

Cell: 4.0704 4.0704 11.0369 Å, 90.00 90.00 90.00°
Last column: nearest neighbours and their distance in Å.
Space group I-4m2 (No. 119)
Inequivalent atoms, fractional coordinates:
Ba 0.0000 0.0000 0.0000  4 P 2.88
Ta 0.0000 0.5000 0.2500  4 P 2.88
P 0.0000 0.0000 0.5000  4 Ba 2.88
P 0.0000 0.5000 0.7500  4 Ta 2.88

---

# 12
DFT (PBE-GGA) results for a relaxed BaTaP2 crystal.

Computed properties:
Calculated volume: 84.2 Å³ per cell
Energy relative to the elements: 0.25 eV/atom
DFT total energy: -5.90 eV per atom

Cell: 5.3148 5.3148 2.9822 Å, 90.00 90.00 90.00°
Last column: nearest neighbours and their distance in Å.
Space group P4/mmm (No. 123)
Inequivalent atoms, fractional coordinates:
Ba 0.0000 0.0000 0.0000  2 Ba 2.98, 8 P 3.05
Ta 0.5000 0.5000 0.0000  2 Ta 2.98, 8 P 3.05
P 0.0000 0.5000 0.5000  2 P 2.98, 4 Ba 3.05, 4 Ta 3.05

---

# 13
DFT (PBE-GGA) results for a relaxed BaTaP crystal.

Computed properties:
Calculated volume: 84.3 Å³ per cell
Energy relative to the elements: -0.05 eV/atom
DFT total energy: -6.45 eV per atom

Cell: 4.2877 4.2877 5.2929 Å, 90.00 90.00 120.00°
Last column: nearest neighbours and their distance in Å.
Space group P-6m2 (No. 187)
Inequivalent atoms, fractional coordinates:
Ba 0.0000 0.0000 0.0000  6 Ta 3.62, 6 P 3.62
Ta 0.3333 0.6667 0.5000  3 P 2.48
P 0.6667 0.3333 0.5000  3 Ta 2.48

---

# 14
DFT (PBE-GGA) results for a relaxed BaTa2P crystal.

Computed properties:
Calculated volume: 280.2 Å³ per cell
Energy relative to the elements: 0.22 eV/atom
DFT total energy: -7.54 eV per atom

Cell: 3.4292 3.4292 27.5133 Å, 90.00 90.00 120.00°
Last column: nearest neighbours and their distance in Å.
Space group R3m (No. 160, hexagonal axes)
Inequivalent atoms, fractional coordinates:
Ba 0.0000 0.0000 0.0000  3 P 3.09, 6 Ba 3.43
Ta 0.0000 0.0000 0.2165  3 Ta 2.84
Ta 0.0000 0.0000 0.4760  3 P 2.51
P 0.0000 0.0000 0.7530  3 Ta 2.51

---

# 15
DFT (PBE-GGA) results for a relaxed BaTaP2 crystal.

Computed properties:
Calculated volume: 81.5 Å³ per cell
Energy relative to the elements: -0.49 eV/atom
DFT total energy: -6.64 eV per atom

Cell: 3.2967 3.3306 7.4241 Å, 90.00 90.00 90.00°
Last column: nearest neighbours and their distance in Å.
Space group Pmmm (No. 47)
Inequivalent atoms, fractional coordinates:
Ba 0.0000 0.0000 0.0000  4 Ba 3.30-3.33, 8 P 3.32
Ta 0.0000 0.0000 0.5000  8 P 2.71
P 0.5000 0.5000 0.3163  4 Ta 2.71, 1 P 2.73

---

# 16
DFT (PBE-GGA) results for a relaxed BaTaP2 crystal.

Computed properties:
Calculated volume: 102.0 Å³ per cell
Energy relative to the elements: -0.32 eV/atom
DFT total energy: -6.47 eV per atom

Cell: 3.6660 3.6660 7.5910 Å, 90.00 90.00 90.00°
Last column: nearest neighbours and their distance in Å.
Space group P4mm (No. 99)
Inequivalent atoms, fractional coordinates:
Ba 0.0000 0.0000 0.0000  5 P 3.05-3.26
Ta 0.5000 0.5000 0.5137  1 P 2.29
P 0.0000 0.0000 0.5699  4 Ta 2.63
P 0.5000 0.5000 0.2120  1 Ta 2.29

---

# 17
DFT (PBE-GGA) results for a relaxed BaTa2P crystal.

Computed properties:
Calculated volume: 101.5 Å³ per cell
Energy relative to the elements: -0.08 eV/atom
DFT total energy: -7.84 eV per atom

Cell: 3.5811 4.1735 7.0174 Å, 90.00 104.66 90.00°
Last column: nearest neighbours and their distance in Å.
Space group Pm (No. 6)
Inequivalent atoms, fractional coordinates:
Ba 0.0000 0.0000 0.0000  4 P 3.22, 1 Ta 3.55, 2 Ba 3.58
Ta 0.2551 0.5000 0.5149  2 P 2.56, 4 Ta 2.76
Ta 0.7362 0.0000 0.4769  2 P 2.61, 4 Ta 2.76
P 0.6218 0.5000 0.2463  4 Ta 2.56-2.61

---

# 18
DFT (PBE-GGA) results for a relaxed BaTa2P crystal.

Computed properties:
Calculated volume: 171.2 Å³ per cell
Energy relative to the elements: 0.88 eV/atom
DFT total energy: -6.88 eV per atom

Cell: 4.6432 4.6432 7.9396 Å, 90.00 90.00 90.00°
Last column: nearest neighbours and their distance in Å.
Space group I-4m2 (No. 119)
Inequivalent atoms, fractional coordinates:
Ba 0.0000 0.0000 0.0000  8 Ta 3.05-3.28, 4 P 3.05
Ta 0.0000 0.0000 0.5000  4 Ta 3.05, 4 P 3.05, 4 Ba 3.28
Ta 0.0000 0.5000 0.2500  4 Ta 3.05, 4 Ba 3.05, 4 P 3.28
P 0.0000 0.5000 0.7500  4 Ba 3.05, 8 Ta 3.05-3.28

---

# 19
DFT (PBE-GGA) results for a relaxed BaTaP2 crystal.

Computed properties:
Calculated volume: 337.7 Å³ per cell
Energy relative to the elements: 0.14 eV/atom
DFT total energy: -6.01 eV per atom

Cell: 6.9640 6.9640 6.9640 Å, 90.00 90.00 90.00°
Last column: nearest neighbours and their distance in Å.
Space group Fm-3m (No. 225)
Inequivalent atoms, fractional coordinates:
Ba 0.0000 0.0000 0.0000  8 P 3.02
Ta 0.0000 0.0000 0.5000  8 P 3.02
P 0.2500 0.2500 0.2500  4 Ba 3.02, 4 Ta 3.02

---

# 20
DFT (PBE-GGA) results for a relaxed BaTaP2 crystal.

Computed properties:
Calculated volume: 322.9 Å³ per cell
Energy relative to the elements: 0.82 eV/atom
DFT total energy: -5.33 eV per atom

Cell: 6.8605 6.8605 6.8605 Å, 90.00 90.00 90.00°
Last column: nearest neighbours and their distance in Å.
Space group F-43m (No. 216)
Inequivalent atoms, fractional coordinates:
Ba 0.0000 0.0000 0.0000  4 Ta 2.97, 4 P 2.97
Ta 0.2500 0.2500 0.7500  4 Ba 2.97, 4 P 2.97
P 0.0000 0.0000 0.5000  4 Ta 2.97, 4 P 2.97
P 0.2500 0.2500 0.2500  4 Ba 2.97, 4 P 2.97

---

# 21
DFT (PBE-GGA) results for a relaxed BaTaP2 crystal.

Computed properties:
Calculated volume: 271.9 Å³ per cell
Energy relative to the elements: -0.74 eV/atom
DFT total energy: -6.89 eV per atom

Cell: 3.8046 3.8046 21.6849 Å, 90.00 90.00 120.00°
Last column: nearest neighbours and their distance in Å.
Space group R-3m (No. 166, hexagonal axes)
Inequivalent atoms, fractional coordinates:
Ba 0.0000 0.0000 0.0000  6 P 3.13
Ta 0.0000 0.0000 0.5000  6 P 2.59
P 0.0000 0.0000 0.2302  3 Ta 2.59

---

# 22
DFT (PBE-GGA) results for a relaxed BaTaP2 crystal.

Computed properties:
Calculated volume: 448.5 Å³ per cell
Energy relative to the elements: -0.54 eV/atom
DFT total energy: -6.69 eV per atom

Cell: 7.3131 7.3131 8.3852 Å, 90.00 90.00 90.00°
Last column: nearest neighbours and their distance in Å.
Space group I-42d (No. 122)
Inequivalent atoms, fractional coordinates:
Ba 0.0000 0.0000 0.0000  4 P 3.26
Ta 0.0000 0.0000 0.5000  4 P 2.41
P 0.1602 0.2500 0.6250  2 Ta 2.41

---

# 23
DFT (PBE-GGA) results for a relaxed BaTa2P crystal.

Computed properties:
Calculated volume: 209.3 Å³ per cell
Energy relative to the elements: 0.24 eV/atom
DFT total energy: -7.52 eV per atom

Cell: 9.9767 3.4989 6.2994 Å, 90.00 107.87 90.00°
Last column: nearest neighbours and their distance in Å.
Space group C2/m (No. 12)
Inequivalent atoms, fractional coordinates:
Ba 0.0000 0.0000 0.0000  2 Ba 3.50, 8 Ta 3.52-3.85, 4 P 3.60
Ta 0.1782 0.0000 0.5960  2 P 2.43
P 0.0000 0.5000 0.5000  4 Ta 2.43

---

# 24
DFT (PBE-GGA) results for a relaxed BaTaP2 crystal.

Computed properties:
Calculated volume: 172.5 Å³ per cell
Energy relative to the elements: 0.24 eV/atom
DFT total energy: -5.91 eV per atom

Cell: 7.3382 7.5258 3.2211 Å, 90.00 104.17 90.00°
Last column: nearest neighbours and their distance in Å.
Space group C2/m (No. 12)
Inequivalent atoms, fractional coordinates:
Ba 0.0000 0.0000 0.0000  4 P 2.84
Ta 0.0000 0.5000 0.0000  4 P 2.84
P 0.2500 0.2500 0.5000  2 Ba 2.84, 2 Ta 2.84

---

# 25
DFT (PBE-GGA) results for a relaxed BaTaP crystal.

Computed properties:
Calculated volume: 173.8 Å³ per cell
Energy relative to the elements: -0.73 eV/atom
DFT total energy: -7.12 eV per atom

Cell: 3.9991 3.9991 10.8664 Å, 90.00 90.00 90.00°
Last column: nearest neighbours and their distance in Å.
Space group P4/nmm (No. 129, origin choice 2)
Inequivalent atoms, fractional coordinates:
Ba 0.2500 0.2500 0.1996  4 P 3.24
Ta 0.2500 0.7500 0.5000  4 P 2.61, 4 Ta 2.83
P 0.2500 0.2500 0.6548  4 Ta 2.61

---

# 26
DFT (PBE-GGA) results for a relaxed BaTaP crystal.

Computed properties:
Calculated volume: 392.4 Å³ per cell
Energy relative to the elements: 1.69 eV/atom
DFT total energy: -4.70 eV per atom

Cell: 7.3213 7.3213 7.3213 Å, 90.00 90.00 90.00°
Last column: nearest neighbours and their distance in Å.
Space group F-43m (No. 216)
Inequivalent atoms, fractional coordinates:
Ba 0.0000 0.0000 0.0000  4 Ta 3.17, 4 P 3.17
Ta 0.2500 0.2500 0.7500  4 Ba 3.17
P 0.2500 0.2500 0.2500  4 Ba 3.17

---

# 27
DFT (PBE-GGA) results for a relaxed BaTa2P crystal.

Computed properties:
Calculated volume: 105.6 Å³ per cell
Energy relative to the elements: 0.41 eV/atom
DFT total energy: -7.35 eV per atom

Cell: 4.3154 4.2644 5.9888 Å, 90.00 106.71 90.00°
Last column: nearest neighbours and their distance in Å.
Space group P2/m (No. 10)
Inequivalent atoms, fractional coordinates:
Ba 0.0000 0.0000 0.0000  2 P 3.15
Ta 0.3237 0.5000 0.6399  2 P 2.49, 1 Ta 2.57
P 0.5000 0.0000 0.5000  4 Ta 2.49

---

# 28
DFT (PBE-GGA) results for a relaxed Ba4TaP crystal.

Computed properties:
Calculated volume: 945.1 Å³ per cell
Energy relative to the elements: 1.12 eV/atom
DFT total energy: -3.04 eV per atom

Cell: 9.8136 9.8136 9.8136 Å, 90.00 90.00 90.00°
Last column: nearest neighbours and their distance in Å.
Space group F-43m (No. 216)
Inequivalent atoms, fractional coordinates:
Ba 0.1244 0.1244 0.1244  6 Ba 3.45-3.49
Ta 0.0000 0.0000 0.5000  12 Ba 4.07, 4 P 4.25
P 0.2500 0.2500 0.7500  12 Ba 4.07, 4 Ta 4.25

---

# 29
DFT (PBE-GGA) results for a relaxed BaTa2P crystal.

Computed properties:
Calculated volume: 177.8 Å³ per cell
Energy relative to the elements: 0.37 eV/atom
DFT total energy: -7.39 eV per atom

Cell: 3.1187 5.4178 10.5200 Å, 90.00 90.00 90.00°
Last column: nearest neighbours and their distance in Å.
Space group Immm (No. 71)
Inequivalent atoms, fractional coordinates:
Ba 0.0000 0.0000 0.0000  2 Ba 3.12, 4 P 3.13, 4 Ta 3.38
Ta 0.0000 0.5000 0.1917  2 P 2.55
P 0.0000 0.0000 0.5000  4 Ta 2.55